# Pt3PbN (GGA-PBE, relaxed)
# ΔE_f (raw)	0.4884	eV/atom
# magnetization	0.00	μB per formula unit
data_Pt3PbN
_space_group_name_H-M_alt 'P m -3 m'
_space_group_IT_number 221
_space_group_name_Hall '-P 4 2 3'
_cell_length_a 4.3560
_cell_length_b 4.3560
_cell_length_c 4.3560
_cell_angle_alpha 90.00
_cell_angle_beta 90.00
_cell_angle_gamma 90.00
loop_
_atom_site_label
_atom_site_fract_x
_atom_site_fract_y
_atom_site_fract_z
Pt1 0.0000 0.0000 0.5000
Pb1 0.5000 0.5000 0.5000
N1 0.0000 0.0000 0.0000